# Ag2IrPb meta-GGA SCAN single point on PBEsol structure
# - total magnetic moment (μB per cell) = 0.00
# - calculated volume (Å³ per cell) = 143.5
# - ΔH_f (0 K) (eV per formula unit) = 1.67
data_Ag2IrPb
_space_group_name_H-M_alt 'P 1'
_space_group_IT_number 1
_space_group_name_Hall 'P 1'
_cell_length_a 9.3542
_cell_length_b 3.1082
_cell_length_c 5.0435
_cell_angle_alpha 90.00
_cell_angle_beta 101.83
_cell_angle_gamma 90.00
loop_
_atom_site_label
_atom_site_type_symbol
_atom_site_fract_x
_atom_site_fract_y
_atom_site_fract_z
Ag1 Ag 0.0000 0.0000 0.0000
Ag2 Ag 0.2480 0.5000 0.1971
Ag3 Ag 0.5000 0.5000 0.0000
Ag4 Ag 0.7480 0.0000 0.1971
Ir1 Ir 0.2614 0.0000 0.7161
Ir2 Ir 0.7614 0.5000 0.7161
Pb1 Pb 0.0156 0.5000 0.5147
Pb2 Pb 0.5156 0.0000 0.5147

=====

# Ag2IrPb meta-GGA SCAN single point on PBEsol structure
# - total magnetic moment (μB per cell) = 0.00
# - calculated volume (Å³ per cell) = 144.2
# - ΔH_f (0 K) (eV per formula unit) = 1.72
data_Ag2IrPb
_space_group_name_H-M_alt 'P 1'
_space_group_IT_number 1
_space_group_name_Hall 'P 1'
_cell_length_a 5.5070
_cell_length_b 10.1070
_cell_length_c 3.0527
_cell_angle_alpha 90.00
_cell_angle_beta 121.94
_cell_angle_gamma 90.00
loop_
_atom_site_label
_atom_site_type_symbol
_atom_site_fract_x
_atom_site_fract_y
_atom_site_fract_z
Ag1 Ag 0.2500 0.2500 0.0000
Ag2 Ag 0.2500 0.7500 0.0000
Ag3 Ag 0.7500 0.2500 0.0000
Ag4 Ag 0.7500 0.7500 0.0000
Ir1 Ir 0.0000 0.0000 0.5000
Ir2 Ir 0.5000 0.5000 0.5000
Pb1 Pb 0.0000 0.5000 0.5000
Pb2 Pb 0.5000 0.0000 0.5000

=====

# AgIrPb2 meta-GGA SCAN single point on PBEsol structure
# - total magnetic moment (μB per cell) = 0.00
# - calculated volume (Å³ per cell) = 252.6
# - ΔH_f (0 K) (eV per formula unit) = 1.79
data_AgIrPb2
_space_group_name_H-M_alt 'P 1'
_space_group_IT_number 1
_space_group_name_Hall 'P 1'
_cell_length_a 3.3089
_cell_length_b 3.3089
_cell_length_c 26.6382
_cell_angle_alpha 90.00
_cell_angle_beta 90.00
_cell_angle_gamma 120.00
loop_
_atom_site_label
_atom_site_type_symbol
_atom_site_fract_x
_atom_site_fract_y
_atom_site_fract_z
Ag1 Ag 0.0000 0.0000 0.0000
Ag2 Ag 0.3333 0.6667 0.6667
Ag3 Ag 0.6667 0.3333 0.3333
Ir1 Ir 0.0000 0.0000 0.5000
Ir2 Ir 0.3333 0.6667 0.1667
Ir3 Ir 0.6667 0.3333 0.8333
Pb1 Pb 0.0000 0.0000 0.2442
Pb2 Pb 0.0000 0.0000 0.7558
Pb3 Pb 0.3333 0.6667 0.4225
Pb4 Pb 0.3333 0.6667 0.9109
Pb5 Pb 0.6667 0.3333 0.0891
Pb6 Pb 0.6667 0.3333 0.5775

=====

# Ag2IrPb meta-GGA SCAN single point on PBEsol structure
# - total magnetic moment (μB per cell) = 0.00
# - calculated volume (Å³ per cell) = 140.2
# - ΔH_f (0 K) (eV per formula unit) = 1.63
data_Ag2IrPb
_space_group_name_H-M_alt 'P 1'
_space_group_IT_number 1
_space_group_name_Hall 'P 1'
_cell_length_a 4.1611
_cell_length_b 4.1611
_cell_length_c 8.0957
_cell_angle_alpha 90.00
_cell_angle_beta 90.00
_cell_angle_gamma 90.00
loop_
_atom_site_label
_atom_site_type_symbol
_atom_site_fract_x
_atom_site_fract_y
_atom_site_fract_z
Ag1 Ag 0.0000 0.0000 0.0000
Ag2 Ag 0.0000 0.5000 0.2500
Ag3 Ag 0.5000 0.0000 0.7500
Ag4 Ag 0.5000 0.5000 0.5000
Ir1 Ir 0.0000 0.5000 0.7500
Ir2 Ir 0.5000 0.0000 0.2500
Pb1 Pb 0.0000 0.0000 0.5000
Pb2 Pb 0.5000 0.5000 0.0000

=====

# Pr2AgIr meta-GGA SCAN single point on PBEsol structure
# - total magnetic moment (μB per cell) = 0.00
# - calculated volume (Å³ per cell) = 371.4
# - ΔH_f (0 K) (eV per formula unit) = -2.10
data_Pr2AgIr
_space_group_name_H-M_alt 'P 1'
_space_group_IT_number 1
_space_group_name_Hall 'P 1'
_cell_length_a 7.1883
_cell_length_b 7.1883
_cell_length_c 7.1883
_cell_angle_alpha 90.00
_cell_angle_beta 90.00
_cell_angle_gamma 90.00
loop_
_atom_site_label
_atom_site_type_symbol
_atom_site_fract_x
_atom_site_fract_y
_atom_site_fract_z
Pr1 Pr 0.2500 0.2500 0.2500
Pr2 Pr 0.2500 0.2500 0.7500
Pr3 Pr 0.2500 0.7500 0.2500
Pr4 Pr 0.2500 0.7500 0.7500
Pr5 Pr 0.7500 0.2500 0.2500
Pr6 Pr 0.7500 0.2500 0.7500
Pr7 Pr 0.7500 0.7500 0.2500
Pr8 Pr 0.7500 0.7500 0.7500
Ag1 Ag 0.0000 0.0000 0.0000
Ag2 Ag 0.0000 0.5000 0.5000
Ag3 Ag 0.5000 0.0000 0.5000
Ag4 Ag 0.5000 0.5000 0.0000
Ir1 Ir 0.0000 0.0000 0.5000
Ir2 Ir 0.0000 0.5000 0.0000
Ir3 Ir 0.5000 0.0000 0.0000
Ir4 Ir 0.5000 0.5000 0.5000

=====

# AgIrPt2 meta-GGA SCAN single point on PBEsol structure
# - total magnetic moment (μB per cell) = 0.00
# - calculated volume (Å³ per cell) = 60.5
# - ΔH_f (0 K) (eV per formula unit) = 0.31
# - offset from the most stable computed form (eV per atom) = 0.000
data_AgIrPt2
_space_group_name_H-M_alt 'P 1'
_space_group_IT_number 1
_space_group_name_Hall 'P 1'
_cell_length_a 2.7509
_cell_length_b 2.7509
_cell_length_c 7.9894
_cell_angle_alpha 90.00
_cell_angle_beta 90.00
_cell_angle_gamma 90.00
loop_
_atom_site_label
_atom_site_type_symbol
_atom_site_fract_x
_atom_site_fract_y
_atom_site_fract_z
Ag1 Ag 0.0000 0.0000 0.0000
Ir1 Ir 0.0000 0.0000 0.5000
Pt1 Pt 0.5000 0.5000 0.2646
Pt2 Pt 0.5000 0.5000 0.7354

=====

# Ag2IrPt meta-GGA SCAN single point on PBEsol structure
# - total magnetic moment (μB per cell) = 1.35
# - calculated volume (Å³ per cell) = 62.0
# - ΔH_f (0 K) (eV per formula unit) = 2.29
# - offset from the most stable computed form (eV per atom) = 0.390
data_Ag2IrPt
_space_group_name_H-M_alt 'P 1'
_space_group_IT_number 1
_space_group_name_Hall 'P 1'
_cell_length_a 3.1415
_cell_length_b 3.1415
_cell_length_c 6.2793
_cell_angle_alpha 90.00
_cell_angle_beta 90.00
_cell_angle_gamma 90.00
loop_
_atom_site_label
_atom_site_type_symbol
_atom_site_fract_x
_atom_site_fract_y
_atom_site_fract_z
Ag1 Ag 0.0000 0.0000 0.2485
Ag2 Ag 0.0000 0.0000 0.7515
Ir1 Ir 0.5000 0.5000 0.0000
Pt1 Pt 0.5000 0.5000 0.5000

=====

# AgIr2Pt meta-GGA SCAN single point on PBEsol structure
# - total magnetic moment (μB per cell) = 0.00
# - calculated volume (Å³ per cell) = 120.1
# - ΔH_f (0 K) (eV per formula unit) = 1.55
# - offset from the most stable computed form (eV per atom) = 0.144
data_AgIr2Pt
_space_group_name_H-M_alt 'P 1'
_space_group_IT_number 1
_space_group_name_Hall 'P 1'
_cell_length_a 5.4103
_cell_length_b 9.4432
_cell_length_c 2.6996
_cell_angle_alpha 90.00
_cell_angle_beta 119.46
_cell_angle_gamma 90.00
loop_
_atom_site_label
_atom_site_type_symbol
_atom_site_fract_x
_atom_site_fract_y
_atom_site_fract_z
Ag1 Ag 0.0000 0.0000 0.0000
Ag2 Ag 0.5000 0.5000 0.0000
Ir1 Ir 0.2500 0.2500 0.5000
Ir2 Ir 0.2500 0.7500 0.5000
Ir3 Ir 0.7500 0.2500 0.5000
Ir4 Ir 0.7500 0.7500 0.5000
Pt1 Pt 0.0000 0.5000 0.0000
Pt2 Pt 0.5000 0.0000 0.0000

=====

# AgIrPt2 meta-GGA SCAN single point on PBEsol structure
# - total magnetic moment (μB per cell) = 0.00
# - calculated volume (Å³ per cell) = 60.5
# - ΔH_f (0 K) (eV per formula unit) = 0.73
# - offset from the most stable computed form (eV per atom) = 0.106
data_AgIrPt2
_space_group_name_H-M_alt 'P 1'
_space_group_IT_number 1
_space_group_name_Hall 'P 1'
_cell_length_a 2.7459
_cell_length_b 2.7459
_cell_length_c 8.0269
_cell_angle_alpha 90.00
_cell_angle_beta 90.00
_cell_angle_gamma 90.00
loop_
_atom_site_label
_atom_site_type_symbol
_atom_site_fract_x
_atom_site_fract_y
_atom_site_fract_z
Ag1 Ag 0.0000 0.0000 0.0000
Ir1 Ir 0.5000 0.5000 0.2609
Pt1 Pt 0.0000 0.0000 0.4915
Pt2 Pt 0.5000 0.5000 0.7382

=====

# AgIr2Pt meta-GGA SCAN single point on PBEsol structure
# - total magnetic moment (μB per cell) = 0.00
# - calculated volume (Å³ per cell) = 120.4
# - ΔH_f (0 K) (eV per formula unit) = 1.38
# - offset from the most stable computed form (eV per atom) = 0.100
data_AgIr2Pt
_space_group_name_H-M_alt 'P 1'
_space_group_IT_number 1
_space_group_name_Hall 'P 1'
_cell_length_a 2.6944
_cell_length_b 4.7104
_cell_length_c 9.4857
_cell_angle_alpha 90.00
_cell_angle_beta 90.00
_cell_angle_gamma 90.00
loop_
_atom_site_label
_atom_site_type_symbol
_atom_site_fract_x
_atom_site_fract_y
_atom_site_fract_z
Ag1 Ag 0.0000 0.0000 0.0000
Ag2 Ag 0.5000 0.5000 0.0000
Ir1 Ir 0.0000 0.5000 0.2547
Ir2 Ir 0.0000 0.5000 0.7453
Ir3 Ir 0.5000 0.0000 0.2547
Ir4 Ir 0.5000 0.0000 0.7453
Pt1 Pt 0.0000 0.0000 0.5000
Pt2 Pt 0.5000 0.5000 0.5000